No. 1
# Tm7Bi2Ir2 GGA-PBE relaxed
# Polymorph energy (0 for the lowest one) (eV/atom): 0.000
# Spin magnetization (Bohr magnetons per cell): 0.0
# Density of states at the Fermi level (states/eV/f.u.): 9.7
# Theoretical density (g/cm³): 11.17
# Uncorrected energy (eV/cell): -128.8
data_Tm7Bi2Ir2
_symmetry_space_group_name_H-M 'I m m 2'
_symmetry_Int_Tables_number 44
_symmetry_space_group_name_Hall 'I 2 -2'
_cell_length_a 3.7810
_cell_length_b 16.2004
_cell_length_c 9.6341
_cell_angle_alpha 90.00
_cell_angle_beta 90.00
_cell_angle_gamma 90.00
loop_
_atom_site_label
_atom_site_type_symbol
_atom_site_fract_x
_atom_site_fract_y
_atom_site_fract_z
_atom_site_occupancy
Tm1 Tm 0.0000 0.0000 0.0000 1
Tm2 Tm 0.0000 0.1330 0.5660 1
Tm3 Tm 0.0000 0.3158 0.3633 1
Tm4 Tm 0.0000 0.3468 0.7195 1
Bi1 Bi 0.0000 0.0000 0.3258 1
Bi2 Bi 0.0000 0.5000 0.2308 1
Ir1 Ir 0.0000 0.2399 0.0602 1


No. 2
# Tm4BiIr GGA-PBE relaxed
# Polymorph energy (0 for the lowest one) (eV/atom): 0.000
# Spin magnetization (Bohr magnetons per cell): 2.4
# Density of states at the Fermi level (states/eV/f.u.): 5.8
# Theoretical density (g/cm³): 11.32
# Uncorrected energy (eV/cell): -138.9
data_Tm4BiIr
_symmetry_space_group_name_H-M 'P n m a'
_symmetry_Int_Tables_number 62
_symmetry_space_group_name_Hall '-P 2ac 2n'
_cell_length_a 8.0306
_cell_length_b 4.1015
_cell_length_c 19.1933
_cell_angle_alpha 90.00
_cell_angle_beta 90.00
_cell_angle_gamma 90.00
loop_
_atom_site_label
_atom_site_type_symbol
_atom_site_fract_x
_atom_site_fract_y
_atom_site_fract_z
_atom_site_occupancy
Tm1 Tm 0.0024 0.2500 0.0661 1
Tm2 Tm 0.0451 0.2500 0.7883 1
Tm3 Tm 0.1385 0.2500 0.5469 1
Tm4 Tm 0.1424 0.2500 0.3575 1
Bi1 Bi 0.2391 0.7500 0.6903 1
Ir1 Ir 0.2489 0.7500 0.4499 1